VASP calculation (PBE) on crystalline ThIr2Rh at its relaxed geometry.

```
16
Lattice="5.455 0.000 0.000 0.000 8.472 0.000 0.000 0.000 7.947" Properties=species:S:1:pos:R:3 pbc="T T T"
Th 1.364 0.000 1.300
Th 1.364 4.236 2.422
Th 4.091 0.000 6.647
Th 4.091 4.236 5.525
Ir 0.000 0.000 3.973
Ir 0.000 4.236 0.000
Ir 1.364 2.195 4.313
Ir 1.364 6.276 4.313
Ir 2.728 0.000 3.973
Ir 2.728 4.236 0.000
Ir 4.091 2.195 3.633
Ir 4.091 6.276 3.633
Rh 1.364 0.000 6.477
Rh 1.364 4.236 5.748
Rh 4.091 0.000 1.470
Rh 4.091 4.236 2.199
```

Its space group is Pmma, No. 51. The energy of formation from the pure elements comes out at -0.019 eV/atom. Its volume is 23.0 Å³/atom. As for the total energy: -8.142 eV per atom.

VASP calculation (PBE) on crystalline Cs2RbSe2 at its relaxed geometry.

```
10
Lattice="9.144 0.000 0.000 0.000 9.144 0.000 0.000 0.000 5.198" Properties=species:S:1:pos:R:3 pbc="T T T"
Cs 1.378 3.194 0.000
Cs 3.194 7.766 0.000
Cs 5.950 1.378 0.000
Cs 7.766 5.950 0.000
Rb 0.000 0.000 2.599
Rb 4.572 4.572 2.599
Se 1.241 5.813 2.599
Se 3.331 1.241 2.599
Se 5.813 7.903 2.599
Se 7.903 3.331 2.599
```

Its space group is P4/mbm, No. 127. As for the energy above the most stable polymorph in this dataset: 0.0 meV per atom. As for the uncorrected formation energy: -0.86 eV per atom. Its volume is 43.5 Å³/atom. As for the total energy: -2.789 eV per atom.